Entry 1:
Entry from Alexandria via LeMat-Bulk: an optimized crystal structure of CuRhCS (PBE).

DFT total energy	-5.8617	eV per atom
DOS(E_F)	1.784	states/eV/f.u.
formation energy without anion corrections	0.3380	eV/atom
E above lowest polymorph	0.0	meV/atom

Cell and atoms, written as CIF:
```
data_CuRhCS
_chemical_formula_sum 'Cu2 Rh2 C2 S2'
_space_group_name_H-M_alt 'P 1'
_space_group_IT_number 1
_cell_length_a 5.763
_cell_length_b 3.273
_cell_length_c 6.053
_cell_angle_alpha 90.00
_cell_angle_beta 96.80
_cell_angle_gamma 90.00
loop_
_space_group_symop_operation_xyz
'x,y,z'
loop_
_atom_site_label
_atom_site_fract_x
_atom_site_fract_y
_atom_site_fract_z
S1 0.301 0.000 0.884
S2 0.301 0.500 0.384
Rh1 0.890 0.000 0.828
Rh2 0.890 0.500 0.328
C1 0.820 0.000 0.146
C2 0.820 0.500 0.646
Cu1 0.503 0.000 0.232
Cu2 0.503 0.500 0.732
```

---

Entry 2:
Entry from Alexandria via LeMat-Bulk: an optimized crystal structure of K2LiLa (PBE).

DFT total energy	-1.8769	eV per atom
DOS(E_F)	4.191	states/eV/f.u.
ΔH_f (0 K)	0.382	eV per atom

Cell and atoms, written as CIF:
```
data_K2LiLa
_chemical_formula_sum 'K2 Li1 La1'
_space_group_name_H-M_alt 'P 1'
_space_group_IT_number 1
_cell_length_a 6.961
_cell_length_b 3.643
_cell_length_c 7.050
_cell_angle_alpha 86.14
_cell_angle_beta 90.00
_cell_angle_gamma 90.00
loop_
_space_group_symop_operation_xyz
'x,y,z'
loop_
_atom_site_label
_atom_site_fract_x
_atom_site_fract_y
_atom_site_fract_z
K1 0.000 0.975 0.991
K2 0.000 0.525 0.509
La1 0.500 0.250 0.250
Li1 0.500 0.750 0.750
```

---

Entry 3:
Entry from Alexandria via LeMat-Bulk: an optimized crystal structure of SrW2Cl (PBE).

DFT total energy	-6.6227	eV per atom
DOS(E_F)	2.247	states/eV/f.u.
formation energy without anion corrections	0.7360	eV/atom
E above lowest polymorph	619.1	meV/atom

Cell and atoms, written as CIF:
```
data_SrW2Cl
_chemical_formula_sum 'Sr1 W2 Cl1'
_space_group_name_H-M_alt 'P 1'
_space_group_IT_number 1
_cell_length_a 6.002
_cell_length_b 6.002
_cell_length_c 6.002
_cell_angle_alpha 147.51
_cell_angle_beta 117.99
_cell_angle_gamma 71.77
loop_
_space_group_symop_operation_xyz
'x,y,z'
loop_
_atom_site_label
_atom_site_fract_x
_atom_site_fract_y
_atom_site_fract_z
Cl1 0.534 0.534 0.000
Sr1 0.279 0.779 0.500
W1 0.933 0.933 0.000
W2 0.754 0.254 0.500
```

---

| no. | volume (Å³ per cell) | calculated density (g cm⁻³) |
| --- | --- | --- |
| 1 | 113.4 | 6.17 |
| 2 | 178.3 | 2.09 |
| 3 | 101.0 | 8.07 |